## Ce3SmHo4P8 (GGA-PBE)

Data for a geometry-optimized Ce3SmHo4P8 structure.

a b c (Å): 8.0812 8.0812 19.7456
angles (deg): 90.00 90.00 120.00
Space group R-3m (No. 166, hexagonal axes)
Asymmetric unit:
Ce1 0.0000 0.5000 0.0000
Sm1 0.0000 0.0000 0.0000
Ho1 0.0000 0.0000 0.5000
Ho2 0.0000 0.5000 0.5000
P1 0.0000 0.0000 0.2483
P2 0.0019 0.5010 0.2484

Properties
- Calculated formation energy: -1568 meV per atom